Record 1
Material: Co2Ir2Pb
Method: DFT, PBE-GGA
State: optimized geometry

Cell lengths 7.437, 7.437, 2.812 Å; angles 90.00, 90.00, 90.00 degrees
Space group P4/mbm (No. 127)
Unique sites:
1 Co 0.166 0.334 0.000 [4 per cell]
2 Ir 0.128 0.628 0.500 [4 per cell]
3 Pb 0.000 0.000 0.500 [2 per cell]

Results
D(E_F): 0.9608 states/eV per atom
E: -6.766 eV per atom
calculated formation energy: 362 meV per atom
E above lowest polymorph: 0 meV per atom
calculated volume: 155.54 Å³/cell

Record 2
Material: Mg2ZnFeI
Method: DFT, PBE-GGA
State: optimized geometry

Cell lengths 5.560, 5.560, 5.372 Å; angles 90.00, 90.00, 90.00 degrees
Space group P4/mmm (No. 123)
Unique sites:
1 Mg 0.000 0.500 0.000 [2 per cell]
2 Zn 0.000 0.000 0.500 [1 per cell]
3 Fe 0.500 0.500 0.500 [1 per cell]
4 I 0.000 0.000 0.000 [1 per cell]

Results
D(E_F): 1.9356 states/eV per atom
E: -1.632 eV per atom
energy relative to the elements, uncorrected: 1.263 eV per atom
E above lowest polymorph: 788 meV per atom
calculated volume: 166.07 Å³/cell